[1]
NaTlGaBr3 | PBE | optimized geometry

Cell and atoms, written as CIF:
```
data_NaTlGaBr3
_chemical_formula_sum 'Na2 Tl2 Ga2 Br6'
_cell_length_a 8.525
_cell_length_b 4.307
_cell_length_c 11.167
_cell_angle_alpha 90.00
_cell_angle_beta 104.32
_cell_angle_gamma 90.00
_space_group_name_H-M_alt 'P 1 21/m 1'
_space_group_IT_number 11
loop_
_space_group_symop_operation_xyz
'x,y,z'
'-x,-y,-z'
'-x,y+1/2,-z'
'x,-y+1/2,z'
loop_
_atom_site_label
_atom_site_type_symbol
_atom_site_fract_x
_atom_site_fract_y
_atom_site_fract_z
Na1 Na 0.154 0.250 0.148
Tl1 Tl 0.241 0.750 0.717
Ga1 Ga 0.388 0.750 0.454
Br1 Br 0.106 0.250 0.880
Br2 Br 0.157 0.250 0.421
Br3 Br 0.411 0.750 0.223
```

Properties
* VASP energy: -35.10 eV per cell
* formation energy without anion corrections: -5.82 eV/f.u.
* N(E_F): 0.0 states/eV per cell
* total moment: 0.000 μB/f.u.

---

[2]
Co2NiHg | PBE | optimized geometry

Cell and atoms, written as CIF:
```
data_Co2NiHg
_chemical_formula_sum 'Co6 Ni3 Hg3'
_cell_length_a 2.7409
_cell_length_b 2.7409
_cell_length_c 25.5102
_cell_angle_alpha 90.00
_cell_angle_beta 90.00
_cell_angle_gamma 120.00
_space_group_name_H-M_alt 'R 3 m'
_space_group_IT_number 160
_space_group_name_Hall 'R 3 -2"'
loop_
_atom_site_label
_atom_site_type_symbol
_atom_site_fract_x
_atom_site_fract_y
_atom_site_fract_z
Co1 Co 0.0000 0.0000 0.0000
Co2 Co 0.0000 0.0000 0.2611
Ni1 Ni 0.0000 0.0000 0.5196
Hg1 Hg 0.0000 0.0000 0.7610
```

Properties
* VASP energy: -56.29 eV per cell
* N(E_F): 9.2 states/eV per cell
* total moment: 3.775 μB/f.u.

---

[3]
MnHgSe | PBE | optimized geometry

Cell and atoms, written as CIF:
```
data_MnHgSe
_chemical_formula_sum 'Mn1 Hg1 Se1'
_cell_length_a 2.997
_cell_length_b 4.829
_cell_length_c 4.878
_cell_angle_alpha 90.00
_cell_angle_beta 90.00
_cell_angle_gamma 90.00
_space_group_name_H-M_alt 'P m m m'
_space_group_IT_number 47
loop_
_space_group_symop_operation_xyz
'x,y,z'
'-x,-y,-z'
'-x,-y,z'
'x,y,-z'
'x,-y,-z'
'-x,y,z'
'-x,y,-z'
'x,-y,z'
loop_
_atom_site_label
_atom_site_type_symbol
_atom_site_fract_x
_atom_site_fract_y
_atom_site_fract_z
Mn1 Mn 0.000 0.000 0.000
Hg1 Hg 0.500 0.500 0.000
Se1 Se 0.000 0.000 0.500
```

Properties
* VASP energy: -12.63 eV per cell
* formation energy without anion corrections: 0.32 eV/f.u.
* N(E_F): 1.8 states/eV per cell
* ΔE to the lowest computed polymorph: 6.05 kcal/mol of atoms
* total moment: 3.928 μB/f.u.

---

[4]
LiZn2Ge | PBE | optimized geometry

Cell and atoms, written as CIF:
```
data_LiZn2Ge
_chemical_formula_sum 'Li4 Zn8 Ge4'
_cell_length_a 3.129
_cell_length_b 19.418
_cell_length_c 4.428
_cell_angle_alpha 90.00
_cell_angle_beta 90.00
_cell_angle_gamma 90.00
_space_group_name_H-M_alt 'C m c m'
_space_group_IT_number 63
_space_group_name_Hall '-C 2c 2'
loop_
_atom_site_label
_atom_site_type_symbol
_atom_site_fract_x
_atom_site_fract_y
_atom_site_fract_z
Li1 Li 0.000 0.095 0.250
Zn1 Zn 0.000 0.273 0.750
Zn2 Zn 0.000 0.472 0.250
Ge1 Ge 0.000 0.342 0.250
```

Properties
* VASP energy: -37.84 eV per cell
* N(E_F): 5.7 states/eV per cell
* total moment: 0.000 μB/f.u.

---

[5]
Rb2SrGaI6 | PBE | optimized geometry

Cell and atoms, written as CIF:
```
data_Rb2SrGaI6
_chemical_formula_sum 'Rb8 Sr4 Ga4 I24'
_cell_length_a 12.393
_cell_length_b 12.393
_cell_length_c 12.393
_cell_angle_alpha 90.00
_cell_angle_beta 90.00
_cell_angle_gamma 90.00
_space_group_name_H-M_alt 'F m -3 m'
_space_group_IT_number 225
_space_group_name_Hall '-F 4 2 3'
loop_
_atom_site_label
_atom_site_type_symbol
_atom_site_fract_x
_atom_site_fract_y
_atom_site_fract_z
Rb1 Rb 0.250 0.250 0.250
Sr1 Sr 0.000 0.000 0.000
Ga1 Ga 0.000 0.000 0.500
I1 I 0.000 0.000 0.261
```

Properties
* VASP energy: -109.01 eV per cell
* formation energy without anion corrections: -11.31 eV/f.u.
* N(E_F): 50.0 states/eV per cell
* total moment: 0.000 μB/f.u.

---

[6]
Cd7GaHg3 | PBE | optimized geometry

Cell and atoms, written as CIF:
```
data_Cd7GaHg3
_chemical_formula_sum 'Cd28 Ga4 Hg12'
_cell_length_a 3.124
_cell_length_b 26.426
_cell_length_c 12.764
_cell_angle_alpha 90.00
_cell_angle_beta 90.00
_cell_angle_gamma 90.00
_space_group_name_H-M_alt 'C m c m'
_space_group_IT_number 63
_space_group_name_Hall '-C 2c 2'
loop_
_atom_site_label
_atom_site_type_symbol
_atom_site_fract_x
_atom_site_fract_y
_atom_site_fract_z
Cd1 Cd 0.000 0.032 0.100
Cd2 Cd 0.000 0.093 0.607
Cd3 Cd 0.000 0.206 0.543
Cd4 Cd 0.000 0.212 0.250
Ga1 Ga 0.000 0.473 0.250
Hg1 Hg 0.000 0.324 0.250
Hg2 Hg 0.000 0.368 0.617
```

Properties
* VASP energy: -39.35 eV per cell
* N(E_F): 9.0 states/eV per cell
* ΔE to the lowest computed polymorph: 0.00 kcal/mol of atoms
* total moment: 0.000 μB/f.u.

---

[7]
SrAgRh | PBE | optimized geometry

Cell and atoms, written as CIF:
```
data_SrAgRh
_chemical_formula_sum 'Sr4 Ag4 Rh4'
_cell_length_a 6.714
_cell_length_b 6.714
_cell_length_c 6.714
_cell_angle_alpha 90.00
_cell_angle_beta 90.00
_cell_angle_gamma 90.00
_space_group_name_H-M_alt 'F -4 3 m'
_space_group_IT_number 216
_space_group_name_Hall 'F -4 2 3'
loop_
_atom_site_label
_atom_site_type_symbol
_atom_site_fract_x
_atom_site_fract_y
_atom_site_fract_z
Sr1 Sr 0.000 0.000 0.000
Ag1 Ag 0.000 0.000 0.500
Rh1 Rh 0.250 0.250 0.750
```

Properties
* VASP energy: -46.15 eV per cell
* N(E_F): 3.6 states/eV per cell
* ΔE to the lowest computed polymorph: 7.95 kcal/mol of atoms
* total moment: 0.000 μB/f.u.

---

[8]
Hf3Fe2Ag | PBE | optimized geometry

Cell and atoms, written as CIF:
```
data_Hf3Fe2Ag
_chemical_formula_sum 'Hf3 Fe2 Ag1'
_cell_length_a 3.129
_cell_length_b 3.129
_cell_length_c 10.423
_cell_angle_alpha 90.00
_cell_angle_beta 90.00
_cell_angle_gamma 90.00
_space_group_name_H-M_alt 'P 4/m m m'
_space_group_IT_number 123
_space_group_name_Hall '-P 4 2'
loop_
_atom_site_label
_atom_site_type_symbol
_atom_site_fract_x
_atom_site_fract_y
_atom_site_fract_z
Hf1 Hf 0.000 0.000 0.000
Hf2 Hf 0.000 0.000 0.300
Fe1 Fe 0.500 0.500 0.154
Ag1 Ag 0.500 0.500 0.500
```

Properties
* VASP energy: -50.84 eV per cell
* N(E_F): 5.2 states/eV per cell
* total moment: 0.638 μB/f.u.

---

[9]
ZnCr2Ni | PBE | optimized geometry

Cell and atoms, written as CIF:
```
data_ZnCr2Ni
_chemical_formula_sum 'Zn1 Cr2 Ni1'
_cell_length_a 2.513
_cell_length_b 3.661
_cell_length_c 5.240
_cell_angle_alpha 90.00
_cell_angle_beta 96.07
_cell_angle_gamma 90.00
_space_group_name_H-M_alt 'P 1 m 1'
_space_group_IT_number 6
loop_
_space_group_symop_operation_xyz
'x,y,z'
'x,-y,z'
loop_
_atom_site_label
_atom_site_type_symbol
_atom_site_fract_x
_atom_site_fract_y
_atom_site_fract_z
Zn1 Zn 0.000 0.000 0.000
Cr1 Cr 0.558 0.500 0.274
Cr2 Cr 0.910 0.000 0.497
Ni1 Ni 0.455 0.500 0.762
```

Properties
* VASP energy: -25.88 eV per cell
* N(E_F): 2.6 states/eV per cell
* total moment: 0.000 μB/f.u.

---

[10]
AcLa3Nd2N6 | PBE | optimized geometry

Cell and atoms, written as CIF:
```
data_AcLa3Nd2N6
_chemical_formula_sum 'Ac2 La6 Nd4 N12'
_cell_length_a 6.496
_cell_length_b 11.258
_cell_length_c 6.480
_cell_angle_alpha 90.00
_cell_angle_beta 109.41
_cell_angle_gamma 90.00
_space_group_name_H-M_alt 'C 1 2/m 1'
_space_group_IT_number 12
loop_
_space_group_symop_operation_xyz
'x,y,z'
'-x,-y,-z'
'-x,y,-z'
'x,-y,z'
'x+1/2,y+1/2,z'
'-x+1/2,-y+1/2,-z'
'-x+1/2,y+1/2,-z'
'x+1/2,-y+1/2,z'
loop_
_atom_site_label
_atom_site_type_symbol
_atom_site_fract_x
_atom_site_fract_y
_atom_site_fract_z
Ac1 Ac 0.000 0.000 0.000
La1 La 0.000 0.170 0.500
La2 La 0.000 0.500 0.500
Nd1 Nd 0.000 0.334 0.000
N1 N 0.237 0.500 0.248
N2 N 0.244 0.328 0.749
```

Properties
* VASP energy: -187.35 eV per cell
* formation energy without anion corrections: -15.30 eV/f.u.
* N(E_F): 0.8 states/eV per cell
* total moment: 0.000 μB/f.u.